# 1
# MnZnCl (PBEsol, optimized geometry)
# - volume (Å³ per atom) = 16.950
# - energy (eV/atom) = -4.493
# - crystal system = trigonal
# - density of states at the Fermi level (states/eV/f.u.) = 1.41
# - formation energy from raw total energies (eV per formula unit) = -0.1
data_MnZnCl
_chemical_formula_sum 'Mn1 Zn1 Cl1'
_cell_length_a 3.1656
_cell_length_b 3.1656
_cell_length_c 5.8594
_cell_angle_alpha 90.00
_cell_angle_beta 90.00
_cell_angle_gamma 120.00
_symmetry_space_group_name_H-M 'P 3 m 1'
_symmetry_Int_Tables_number 156
loop_
_symmetry_equiv_pos_as_xyz
'x,y,z'
'-y,x-y,z'
'-x+y,-x,z'
'-y,-x,z'
'-x+y,y,z'
'x,x-y,z'
loop_
_atom_site_label
_atom_site_type_symbol
_atom_site_fract_x
_atom_site_fract_y
_atom_site_fract_z
Mn1 Mn 0.0000 0.0000 0.0000
Zn1 Zn 0.3333 0.6667 0.6952
Cl1 Cl 0.6667 0.3333 0.2786

=====

# 2
# ScSe2O (PBEsol, optimized geometry)
# - volume (Å³ per atom) = 16.552
# - relative energy among the computed polymorphs (meV/atom) = 64
# - energy (eV/atom) = -5.247
# - crystal system = cubic
# - density of states at the Fermi level (states/eV/f.u.) = 4.41
# - formation energy from raw total energies (eV per formula unit) = -1.4
data_ScSe2O
_chemical_formula_sum 'Sc4 Se8 O4'
_cell_length_a 6.422
_cell_length_b 6.422
_cell_length_c 6.422
_cell_angle_alpha 90.00
_cell_angle_beta 90.00
_cell_angle_gamma 90.00
_symmetry_space_group_name_H-M 'F m -3 m'
_symmetry_Int_Tables_number 225
_symmetry_space_group_name_Hall '-F 4 2 3'
loop_
_atom_site_label
_atom_site_type_symbol
_atom_site_fract_x
_atom_site_fract_y
_atom_site_fract_z
Sc1 Sc 0.000 0.000 0.000
Se1 Se 0.250 0.250 0.250
O1 O 0.000 0.000 0.500

=====

# 3
# K2FeOs (PBEsol, optimized geometry)
# - volume (Å³ per atom) = 18.926
# - relative energy among the computed polymorphs (meV/atom) = 576
# - formation energy (eV/atom) = 1.390
# - energy (eV/atom) = -4.472
# - crystal system = trigonal
# - density of states at the Fermi level (states/eV/f.u.) = 4.08
data_K2FeOs
_chemical_formula_sum 'K6 Fe3 Os3'
_cell_length_a 2.7679
_cell_length_b 2.7679
_cell_length_c 34.2321
_cell_angle_alpha 90.00
_cell_angle_beta 90.00
_cell_angle_gamma 120.00
_symmetry_space_group_name_H-M 'R -3 m'
_symmetry_Int_Tables_number 166
_symmetry_space_group_name_Hall '-R 3 2"'
loop_
_atom_site_label
_atom_site_type_symbol
_atom_site_fract_x
_atom_site_fract_y
_atom_site_fract_z
K1 K 0.0000 0.0000 0.2486
Fe1 Fe 0.0000 0.0000 0.0000
Os1 Os 0.0000 0.0000 0.5000

=====

# 4
# CrCo2 (PBEsol, optimized geometry)
# - volume (Å³ per atom) = 10.221
# - formation energy (eV/atom) = 0.034
# - energy (eV/atom) = -8.538
# - crystal system = orthorhombic
# - density of states at the Fermi level (states/eV/f.u.) = 4.34
data_CrCo2
_chemical_formula_sum 'Cr4 Co8'
_cell_length_a 4.874
_cell_length_b 3.440
_cell_length_c 7.315
_cell_angle_alpha 90.00
_cell_angle_beta 90.00
_cell_angle_gamma 90.00
_symmetry_space_group_name_H-M 'P n m a'
_symmetry_Int_Tables_number 62
loop_
_symmetry_equiv_pos_as_xyz
'x,y,z'
'-x,-y,-z'
'-x+1/2,-y,z+1/2'
'x+1/2,y,-z+1/2'
'x+1/2,-y+1/2,-z+1/2'
'-x+1/2,y+1/2,z+1/2'
'-x,y+1/2,-z'
'x,-y+1/2,z'
loop_
_atom_site_label
_atom_site_type_symbol
_atom_site_fract_x
_atom_site_fract_y
_atom_site_fract_z
Cr1 Cr 0.137 0.250 0.087
Co1 Co 0.124 0.250 0.753
Co2 Co 0.128 0.250 0.416

=====

# 5
# OsPt2Pb (PBEsol, optimized geometry)
# - volume (Å³ per atom) = 16.911
# - formation energy (eV/atom) = 0.497
# - energy (eV/atom) = -7.038
# - crystal system = orthorhombic
# - density of states at the Fermi level (states/eV/f.u.) = 4.10
data_OsPt2Pb
_chemical_formula_sum 'Os2 Pt4 Pb2'
_cell_length_a 2.817
_cell_length_b 4.881
_cell_length_c 9.839
_cell_angle_alpha 90.00
_cell_angle_beta 90.00
_cell_angle_gamma 90.00
_symmetry_space_group_name_H-M 'I m m 2'
_symmetry_Int_Tables_number 44
loop_
_symmetry_equiv_pos_as_xyz
'x,y,z'
'-x,-y,z'
'-x,y,z'
'x,-y,z'
'x+1/2,y+1/2,z+1/2'
'-x+1/2,-y+1/2,z+1/2'
'-x+1/2,y+1/2,z+1/2'
'x+1/2,-y+1/2,z+1/2'
loop_
_atom_site_label
_atom_site_type_symbol
_atom_site_fract_x
_atom_site_fract_y
_atom_site_fract_z
Os1 Os 0.000 0.000 0.000
Pt1 Pt 0.000 0.000 0.522
Pt2 Pt 0.000 0.500 0.273
Pb1 Pb 0.000 0.500 0.755

=====

# 6
# BaLiIn2W (PBEsol, optimized geometry)
# - volume (Å³ per atom) = 24.720
# - formation energy (eV/atom) = 0.799
# - energy (eV/atom) = -3.978
# - crystal system = tetragonal
# - density of states at the Fermi level (states/eV/f.u.) = 4.08
data_BaLiIn2W
_chemical_formula_sum 'Ba1 Li1 In2 W1'
_cell_length_a 4.959
_cell_length_b 4.959
_cell_length_c 5.027
_cell_angle_alpha 90.00
_cell_angle_beta 90.00
_cell_angle_gamma 90.00
_symmetry_space_group_name_H-M 'P 4/m m m'
_symmetry_Int_Tables_number 123
_symmetry_space_group_name_Hall '-P 4 2'
loop_
_atom_site_label
_atom_site_type_symbol
_atom_site_fract_x
_atom_site_fract_y
_atom_site_fract_z
Ba1 Ba 0.000 0.000 0.000
Li1 Li 0.500 0.500 0.500
In1 In 0.000 0.500 0.500
W1 W 0.500 0.500 0.000